# 1
GGA-PBE GeIrCN2, optimized geometry; crystal system = tetragonal; E_form (uncorrected) = 10.92 eV/f.u.
1.0
-1.022 -1.326 -3.408
-3.081 -1.641 1.563
-2.004 3.163 -0.630
C N Ge Ir
1 2 1 1
Cartesian
-1.541 -0.820 0.781
-1.002 1.581 -0.315
-0.511 -0.663 -1.704
0.000 0.000 0.000
-3.054 0.098 -1.237

# 2
GGA-PBE Bi4PdPt2, optimized geometry; formation enthalpy at 0 K = -0.274 eV per atom; crystal system = monoclinic
1.0
4.275 0.000 0.000
0.000 7.313 -0.127
-2.137 -3.699 5.796
Pd Bi Pt
1 4 2
Cartesian
0.000 0.000 0.000
2.137 1.202 1.482
2.137 -1.179 4.341
0.000 4.794 1.327
0.000 2.412 4.186
0.000 -0.103 2.906
2.137 3.717 2.762

# 3
GGA-PBE LiPmPuO5, optimized geometry; crystal system = monoclinic; E_form (uncorrected) = -21.92 eV/f.u.
1.0
-1.977 1.691 5.352
4.025 -4.216 1.197
3.800 6.283 -3.444
Pm O Li Pu
2 10 2 2
Cartesian
3.091 -0.791 1.640
2.757 4.549 1.465
4.595 -2.271 0.599
4.988 3.566 1.392
0.860 0.191 1.712
6.049 3.140 -1.713
1.253 6.029 2.506
3.180 2.919 -0.300
2.668 0.838 3.405
-0.201 0.618 4.818
0.763 3.331 2.353
5.084 0.426 0.752
5.030 2.311 -0.109
0.818 1.446 3.214
0.000 0.000 0.000
1.900 3.141 -1.722

# 4
GGA-PBE As3Rh, optimized geometry; formation enthalpy at 0 K = 0.178 eV per atom; crystal system = tetragonal
1.0
-2.008 2.008 9.375
2.008 -2.008 9.375
2.008 2.008 -9.375
As Rh
6 2
Cartesian
2.008 0.000 0.000
0.000 0.000 2.027
0.000 2.008 4.687
0.000 2.008 0.000
0.000 0.000 16.723
2.008 0.000 4.687
0.000 0.000 6.195
0.000 0.000 12.555

# 5
GGA-PBE LiTl2In, optimized geometry; formation enthalpy at 0 K = -0.072 eV per atom; crystal system = orthorhombic
1.0
3.376 0.000 0.000
0.000 3.323 0.000
0.000 -1.662 9.101
Tl In Li
2 1 1
Cartesian
0.000 0.000 8.623
1.688 0.000 2.115
0.000 0.000 4.913
1.688 1.662 6.724

# 6
GGA-PBE LaTaAu2, optimized geometry; formation enthalpy at 0 K = -0.204 eV per atom; crystal system = trigonal
1.0
4.582 -0.011 0.009
2.302 3.962 0.009
2.279 1.308 5.418
Ta Au La
1 2 1
Cartesian
2.291 1.315 1.359
4.583 2.630 2.026
6.882 3.950 0.710
6.872 3.944 4.077

# 7
GGA-PBE La2VPb2, optimized geometry; formation enthalpy at 0 K = 0.173 eV per atom; crystal system = tetragonal
1.0
8.296 0.000 0.000
0.000 8.296 0.000
0.000 0.000 4.706
V Pb La
2 4 4
Cartesian
4.148 4.148 0.000
0.000 0.000 0.000
5.280 7.164 2.353
3.016 1.132 2.353
7.164 3.016 2.353
1.132 5.280 2.353
6.881 5.563 0.000
2.733 6.881 0.000
5.563 1.415 0.000
1.415 2.733 0.000

# 8
GGA-PBE Tb4Nd2ThSc, optimized geometry; formation enthalpy at 0 K = 0.139 eV per atom; crystal system = tetragonal
1.0
5.897 0.000 0.000
0.000 9.418 -0.013
0.000 3.698 4.593
Nd Tb Th Sc
2 4 1 1
Cartesian
0.000 3.698 4.593
2.948 1.849 2.297
2.948 5.190 3.395
5.897 3.339 1.097
2.948 7.926 1.185
0.000 9.777 3.483
0.000 6.558 2.290
2.948 4.709 -0.007

M_tot values (in μB/f.u.) by entry order: 0.00; 0.00; 2.00; 0.00; 0.00; 0.00; 3.24; 0.00.